4
Lattice="-1.100 -4.201 -0.799 0.437 -3.039 3.174 -3.587 -1.743 1.897" Properties=species:S:1:pos:R:3 comment="LiRe2Te, optimized geometry, DFT PBE-GGA" magnetic_moment_mub_per_cell=0.00 dft_energy_ev_per_atom=-6.782 e_form_raw_ev_per_atom=0.706 pbc="T T T"
Li 0.000 0.000 0.000
Te -2.125 -4.491 2.136
Re -3.187 -6.737 3.204
Re -1.062 -2.246 1.068